(1)
Compound: Cs4Th3CuTe8
Source: Alexandria
Functional: PBE-GGA
Structure: optimized geometry

Cell: 9.1215 10.3968 9.1998 Å, 116.46 119.72 90.00°
Positions (direct):
Te: 0.2290 0.6896 0.4579
Te: 0.7710 0.3104 0.5421
Te: 0.2600 0.3171 0.0395
Te: 0.2205 0.6829 0.9605
Te: 0.7795 0.3171 0.0395
Te: 0.7329 0.7007 0.4659
Te: 0.7400 0.6829 0.9605
Te: 0.2671 0.2993 0.5341
Th: 0.0000 0.5000 0.5000
Th: 0.5000 0.5000 0.5000
Th: 0.5000 0.5000 0.0000
Cs: 0.0000 0.0000 0.5000
Cs: 0.5000 0.0000 0.0000
Cs: 0.0000 0.0000 0.0000
Cs: 0.5000 0.0000 0.5000
Cu: 0.0000 0.5000 0.0000

Computed properties:
final energy = -71.28 eV per cell
formation energy from raw total energies = -1.02 eV/atom
total moment = 0.000 μB/cell
DOS(E_F) = 6.1 states/eV per cell

(2)
Compound: TlZnOs2
Source: Alexandria
Functional: PBE-GGA
Structure: optimized geometry

Cell: 4.9170 4.9170 3.0001 Å, 90.00 90.00 114.15°
Positions (direct):
Os: 0.5000 0.5000 0.0000
Os: 0.0000 0.0000 0.0000
Zn: 0.0000 0.5000 0.5000
Tl: 0.5000 0.0000 0.5000

Computed properties:
final energy = -22.22 eV per cell
total moment = 0.000 μB/cell
calculated formation energy = 93.64 kJ/mol of atoms
DOS(E_F) = 3.8 states/eV per cell

(3)
Compound: TlTe2IrO8
Source: Alexandria
Functional: PBE-GGA
Structure: optimized geometry

Cell: 5.3158 4.9566 6.7570 Å, 89.32 96.45 86.65°
Last column: magnetic moment on the atom in μB.
Positions (direct):
Te: 0.5559 0.5196 0.7543  0.01
Te: 0.4441 0.4804 0.2457  0.01
O: 0.1725 0.8279 0.7850  0.14
O: 0.8564 0.2508 0.7735  0.05
O: 0.1436 0.7492 0.2265  0.05
O: 0.3490 0.3008 0.4747  0.02
O: 0.8275 0.1721 0.2150  0.14
O: 0.7165 0.7690 0.9505  0.14
O: 0.2835 0.2310 0.0495  0.14
O: 0.6510 0.6992 0.5253  0.02
Tl: 0.0000 0.0000 0.5000  -0.01
Ir: 0.0000 0.0000 0.0000  0.97

Computed properties:
final energy = -66.63 eV per cell
formation energy from raw total energies = -0.79 eV/atom
total moment = 1.867 μB/cell
DOS(E_F) = 2.9 states/eV per cell

(4)
Compound: Rb3Dy3NpS8
Source: Alexandria
Functional: PBE-GGA
Structure: optimized geometry

Cell: 8.0921 8.0919 9.1035 Å, 116.41 90.00 120.00°
Last column: magnetic moment on the atom in μB.
Positions (direct):
S: 0.7741 0.0397 0.3140  -0.04
S: 0.7741 0.5482 0.3140  -0.04
S: 0.2656 0.0397 0.3140  -0.04
S: 0.2259 0.4518 0.6860  -0.04
S: 0.2699 0.5399 0.3100  0.00
S: 0.7344 0.9603 0.6860  -0.04
S: 0.2259 0.9603 0.6860  -0.04
S: 0.7301 0.4601 0.6900  0.00
Dy: 0.5000 0.5000 0.5000  0.01
Dy: 0.0000 0.5000 0.5000  0.01
Dy: 0.5000 0.0000 0.5000  0.01
Rb: 0.0000 0.0000 0.0000  0.00
Rb: 0.0000 0.5000 0.0000  0.00
Rb: 0.5000 0.5000 0.0000  0.00
Np: 0.0000 0.0000 0.5000  3.20

Computed properties:
final energy = -88.93 eV per cell
formation energy from raw total energies = -1.75 eV/atom
total moment = 3.000 μB/cell
DOS(E_F) = 3.6 states/eV per cell

(5)
Compound: Sr3CaY3Te8
Source: Alexandria
Functional: PBE-GGA
Structure: optimized geometry

Cell: 8.9580 8.9595 9.1859 Å, 119.19 90.00 119.99°
Positions (direct):
Y: 0.5000 0.5000 0.5000
Y: 0.0000 0.5000 0.5000
Y: 0.5000 0.0000 0.5000
Te: 0.2497 0.4993 0.7334
Te: 0.7341 0.9836 0.7332
Te: 0.2565 0.5129 0.2692
Te: 0.7503 0.5007 0.2666
Te: 0.2659 0.0164 0.2668
Te: 0.7435 0.4871 0.7308
Te: 0.7505 0.0164 0.2668
Te: 0.2495 0.9836 0.7332
Sr: 0.0000 0.0000 0.0000
Sr: 0.5000 0.5000 0.0000
Sr: 0.0000 0.5000 0.0000
Ca: 0.0000 0.0000 0.5000

Computed properties:
final energy = -74.81 eV per cell
formation energy from raw total energies = -1.55 eV/atom
total moment = 0.000 μB/cell
DOS(E_F) = 4.0 states/eV per cell

(6)
Compound: Y3Co2
Source: Alexandria
Functional: PBE-GGA
Structure: optimized geometry

Cell: 4.6643 4.6643 5.8896 Å, 90.00 90.00 120.00°
Positions (direct):
Y: 0.0000 0.0000 0.0000
Y: 0.3333 0.6667 0.3327
Y: 0.6667 0.3333 0.6673
Co: 0.6667 0.3333 0.1570
Co: 0.3333 0.6667 0.8430

Computed properties:
final energy = -34.01 eV per cell
total moment = 0.000 μB/cell
calculated formation energy = -7.79 kJ/mol of atoms
DOS(E_F) = 4.1 states/eV per cell

(7)
Compound: TlFeP2
Source: Alexandria
Functional: PBE-GGA
Structure: optimized geometry

Cell: 4.5175 4.5175 4.5175 Å, 60.00 60.00 60.00°
Positions (direct):
P: 0.2500 0.2500 0.2500
P: 0.7500 0.7500 0.7500
Fe: 0.0000 0.0000 0.0000
Tl: 0.5000 0.5000 0.5000

Computed properties:
final energy = -18.27 eV per cell
total moment = 0.000 μB/cell
calculated formation energy = 81.40 kJ/mol of atoms
DOS(E_F) = 3.9 states/eV per cell

(8)
Compound: FeAgPt4
Source: Alexandria
Functional: PBE-GGA
Structure: optimized geometry

Cell: 2.7643 2.7643 12.1147 Å, 90.00 90.00 90.00°
Last column: magnetic moment on the atom in μB.
Positions (direct):
Pt: 0.5000 0.5000 0.8501  0.29
Pt: 0.0000 0.0000 0.3217  0.06
Pt: 0.0000 0.0000 0.6783  0.06
Pt: 0.5000 0.5000 0.1499  0.29
Fe: 0.0000 0.0000 0.0000  3.05
Ag: 0.5000 0.5000 0.5000  0.01

Computed properties:
final energy = -36.17 eV per cell
total moment = 3.798 μB/cell
calculated formation energy = -11.17 kJ/mol of atoms
DOS(E_F) = 4.7 states/eV per cell

(9)
Compound: LiDyGaPt3
Source: Alexandria
Functional: PBE-GGA
Structure: optimized geometry

Cell: 5.7261 5.6542 7.0685 Å, 113.58 90.00 90.00°
Positions (direct):
Ga: 0.7500 0.6208 0.2416
Ga: 0.2500 0.3792 0.7584
Pt: 0.7500 0.8122 0.6244
Pt: 0.5000 0.7613 0.0000
Pt: 0.0000 0.7613 0.0000
Pt: 0.2500 0.1878 0.3756
Pt: 0.5000 0.2387 0.0000
Pt: 0.0000 0.2387 0.0000
Dy: 0.7500 0.3361 0.6723
Dy: 0.2500 0.6639 0.3277
Li: 0.7500 0.1233 0.2466
Li: 0.2500 0.8767 0.7534

Computed properties:
final energy = -64.26 eV per cell
total moment = 0.000 μB/cell
calculated formation energy = -71.83 kJ/mol of atoms
DOS(E_F) = 4.8 states/eV per cell

(10)
Compound: YEr2InO
Source: Alexandria
Functional: PBE-GGA
Structure: optimized geometry

Cell: 4.8208 4.7203 4.7203 Å, 90.00 90.00 90.00°
Positions (direct):
In: 0.5000 0.5000 0.5000
Er: 0.0000 0.0000 0.5000
Er: 0.0000 0.5000 0.0000
Y: 0.5000 0.0000 0.0000
O: 0.0000 0.0000 0.0000

Computed properties:
final energy = -30.37 eV per cell
formation energy from raw total energies = -1.42 eV/atom
total moment = 0.000 μB/cell
DOS(E_F) = 1.7 states/eV per cell

(11)
Compound: TlPdIN2
Source: Alexandria
Functional: PBE-GGA
Structure: optimized geometry

Cell: 4.1888 4.1888 7.2206 Å, 90.00 90.00 90.00°
Last column: magnetic moment on the atom in μB.
Positions (direct):
I: 0.0000 0.0000 0.5000  0.02
Pd: 0.5000 0.5000 0.5000  0.17
Tl: 0.0000 0.0000 0.0000  -0.01
N: 0.0000 0.5000 0.0000  0.92
N: 0.5000 0.0000 0.0000  0.92

Computed properties:
final energy = -16.78 eV per cell
formation energy from raw total energies = 1.80 eV/atom
total moment = 2.855 μB/cell
DOS(E_F) = 3.6 states/eV per cell

(12)
Compound: RbLa2USe5
Source: Alexandria
Functional: PBE-GGA
Structure: optimized geometry

Cell: 5.3239 7.6467 8.7286 Å, 115.98 107.76 90.00°
Last column: magnetic moment on the atom in μB.
Positions (direct):
Se: 0.0000 0.0000 0.0000  -0.04
Se: 0.3497 0.6132 0.6993  -0.02
Se: 0.6503 0.3868 0.3007  -0.02
Se: 0.6503 0.9139 0.3007  -0.02
Se: 0.3497 0.0861 0.6993  -0.02
La: 0.2038 0.2038 0.4076  0.08
La: 0.7962 0.7962 0.5924  0.08
U: 0.5000 0.0000 0.0000  2.40
Rb: 0.0000 0.5000 0.0000  0.00

Computed properties:
final energy = -53.81 eV per cell
formation energy from raw total energies = -1.59 eV/atom
total moment = 2.847 μB/cell
DOS(E_F) = 6.4 states/eV per cell

(13)
Compound: LaMnNbC2
Source: Alexandria
Functional: PBE-GGA
Structure: optimized geometry

Cell: 4.2280 5.4682 4.2280 Å, 90.00 90.00 90.00°
Last column: magnetic moment on the atom in μB.
Positions (direct):
Nb: 0.0000 0.5000 0.0000  -0.42
La: 0.0000 0.0000 0.0000  -0.03
Mn: 0.5000 0.5000 0.5000  -0.23
C: 0.5000 0.0000 0.0000  0.03
C: 0.0000 0.0000 0.5000  0.04

Computed properties:
final energy = -26.93 eV per cell
total moment = 0.695 μB/cell
calculated formation energy = 302.58 kJ/mol of atoms
DOS(E_F) = 6.8 states/eV per cell

(14)
Compound: In3IrCl
Source: Alexandria
Functional: PBE-GGA
Structure: optimized geometry

Cell: 6.5536 8.1549 5.2843 Å, 90.00 113.77 90.00°
Positions (direct):
Ir: 0.3031 0.7500 0.9017
Ir: 0.6969 0.2500 0.0983
In: 0.7217 0.5772 0.1109
In: 0.7217 0.9228 0.1109
In: 0.2927 0.7500 0.3965
In: 0.2783 0.0772 0.8891
In: 0.2783 0.4228 0.8891
In: 0.7073 0.2500 0.6035
Cl: 0.1401 0.2500 0.3202
Cl: 0.8599 0.7500 0.6798

Computed properties:
final energy = -39.26 eV per cell
formation energy from raw total energies = -0.14 eV/atom
total moment = 0.000 μB/cell
DOS(E_F) = 6.6 states/eV per cell

(15)
Compound: PuCuCl4
Source: Alexandria
Functional: PBE-GGA
Structure: optimized geometry

Cell: 5.8498 5.8498 5.8495 Å, 110.22 110.22 107.98°
Last column: magnetic moment on the atom in μB.
Positions (direct):
Cl: 0.7501 0.7471 0.4964  -0.05
Cl: 0.7463 0.2499 0.9970  -0.05
Cl: 0.2507 0.2537 0.5036  -0.05
Cl: 0.2529 0.7493 0.0030  -0.05
Pu: 0.7500 0.2500 0.5000  5.27
Cu: 0.5000 0.5000 0.0000  -0.19

Computed properties:
final energy = -33.67 eV per cell
formation energy from raw total energies = -1.31 eV/atom
total moment = 4.987 μB/cell
DOS(E_F) = 12.7 states/eV per cell

(16)
Compound: CaZrAu2
Source: Alexandria
Functional: PBE-GGA
Structure: optimized geometry

Cell: 4.8422 4.8422 4.8422 Å, 60.00 60.00 60.00°
Positions (direct):
Au: 0.0000 0.0000 0.0000
Au: 0.2500 0.2500 0.2500
Ca: 0.5000 0.5000 0.5000
Zr: 0.7500 0.7500 0.7500

Computed properties:
final energy = -18.26 eV per cell
total moment = 0.000 μB/cell
calculated formation energy = -27.76 kJ/mol of atoms

(17)
Compound: AgIrNF2
Source: Alexandria
Functional: PBE-GGA
Structure: optimized geometry

Cell: 4.0442 4.0442 4.4447 Å, 90.00 90.00 90.00°
Last column: magnetic moment on the atom in μB.
Positions (direct):
Ag: 0.0000 0.0000 0.0000  -0.04
F: 0.0000 0.5000 0.0000  0.02
F: 0.5000 0.0000 0.0000  0.02
Ir: 0.5000 0.5000 0.5000  2.00
N: 0.0000 0.0000 0.5000  0.04

Computed properties:
final energy = -18.09 eV per cell
formation energy from raw total energies = 1.14 eV/atom
total moment = 2.187 μB/cell
DOS(E_F) = 5.8 states/eV per cell

(18)
Compound: Pm2Ga5Cu5
Source: Alexandria
Functional: PBE-GGA
Structure: optimized geometry

Cell: 4.0530 5.2744 9.5387 Å, 90.00 90.00 90.00°
Positions (direct):
Ga: 0.0000 0.5000 0.3311
Ga: 0.0000 0.5000 0.6689
Ga: 0.5000 0.0000 0.0000
Ga: 0.0000 0.0000 0.8141
Ga: 0.0000 0.0000 0.1859
Cu: 0.5000 0.7465 0.7487
Cu: 0.5000 0.2535 0.2513
Cu: 0.5000 0.7465 0.2513
Cu: 0.5000 0.5000 0.5000
Cu: 0.5000 0.2535 0.7487
Pm: 0.0000 0.5000 0.0000
Pm: 0.0000 0.0000 0.5000

Computed properties:
final energy = -49.06 eV per cell
total moment = 0.000 μB/cell
calculated formation energy = -31.68 kJ/mol of atoms
DOS(E_F) = 5.6 states/eV per cell

(19)
Compound: Sc3Si3Rh2
Source: Alexandria
Functional: PBE-GGA
Structure: optimized geometry

Cell: 5.3105 7.7912 13.3662 Å, 90.00 90.00 90.00°
Positions (direct):
Rh: 0.3914 0.4241 0.5947
Rh: 0.1086 0.9241 0.9053
Rh: 0.6086 0.5759 0.4053
Rh: 0.6086 0.5759 0.0947
Rh: 0.1086 0.9241 0.5947
Rh: 0.3914 0.4241 0.9053
Rh: 0.8914 0.0759 0.0947
Rh: 0.8914 0.0759 0.4053
Sc: 0.3743 0.7002 0.7500
Sc: 0.1142 0.4529 0.1158
Sc: 0.8858 0.5471 0.8842
Sc: 0.8858 0.5471 0.6158
Sc: 0.1257 0.2002 0.7500
Sc: 0.6142 0.0471 0.6158
Sc: 0.8743 0.7998 0.2500
Sc: 0.1142 0.4529 0.3842
Sc: 0.6257 0.2998 0.2500
Sc: 0.3858 0.9529 0.3842
Sc: 0.3858 0.9529 0.1158
Sc: 0.6142 0.0471 0.8842
Si: 0.8807 0.7918 0.0400
Si: 0.1193 0.2082 0.5400
Si: 0.6193 0.2918 0.0400
Si: 0.8807 0.7918 0.4600
Si: 0.6193 0.2918 0.4600
Si: 0.6119 0.3406 0.7500
Si: 0.3881 0.6594 0.2500
Si: 0.1193 0.2082 0.9600
Si: 0.3807 0.7082 0.5400
Si: 0.3807 0.7082 0.9600
Si: 0.1119 0.1594 0.2500
Si: 0.8881 0.8406 0.7500

Computed properties:
final energy = -230.55 eV per cell
formation energy from raw total energies = -0.96 eV/atom
total moment = 0.000 μB/cell
DOS(E_F) = 18.0 states/eV per cell

(20)
Compound: Pm6InHg5
Source: Alexandria
Functional: PBE-GGA
Structure: optimized geometry

Cell: 5.3807 7.6961 8.5248 Å, 90.00 108.52 90.00°
Last column: magnetic moment on the atom in μB.
Positions (direct):
Hg: 0.3370 0.0000 0.6705  0.03
Hg: 0.0000 0.5000 0.0000  0.03
Hg: 0.6630 0.0000 0.3295  0.03
Hg: 0.6651 0.5000 0.3331  0.03
Hg: 0.3349 0.5000 0.6669  0.03
Pm: 0.1666 0.7496 0.3355  0.23
Pm: 0.5000 0.7474 0.0000  0.22
Pm: 0.1666 0.2504 0.3355  0.23
Pm: 0.8334 0.7496 0.6645  0.23
Pm: 0.8334 0.2504 0.6645  0.23
Pm: 0.5000 0.2526 0.0000  0.22
In: 0.0000 0.0000 0.0000  0.01

Computed properties:
final energy = -38.44 eV per cell
total moment = 2.812 μB/cell
calculated formation energy = -45.73 kJ/mol of atoms
DOS(E_F) = 13.6 states/eV per cell